{"formula": "NbCr2PbF", "functional": "PBE+U", "state": "optimized geometry", "cell": [[4.220, 0.000, 0.000], [0.000, 5.380, 0.000], [0.000, 0.000, 4.220]], "species": ["Pb", "Cr", "Cr", "Nb", "F"], "frac_coords": [[0.000, 0.500, 0.000], [0.500, 0.000, 0.000], [0.000, 0.000, 0.500], [0.500, 0.500, 0.500], [0.000, 0.000, 0.000]], "m_tot_mub_per_fu": 7.634, "dft_energy_ev_per_cell": -30.4}